Here is KNiF3 after structural relaxation from Alexandria via LeMat-Bulk. Energies are from GGA+U.

## Properties
As for the density of states at the Fermi level: 10.633 states/eV/cell. Its crystal system is cubic. The calculation puts the total energy at -12.2 eV/cell. As for the space group: No. 221.

Unit cell a=4.6405 b=4.6405 c=4.6405 alpha=90.00 beta=90.00 gamma=90.00
Closest atoms and distances in Å follow each position.
Element x y z (fractional)
K  0.0000  0.0000  0.0000  6 F 2.32
Ni  0.5000  0.5000  0.5000  12 F 3.28
F  0.0000  0.5000  0.0000  2 K 2.32
F  0.5000  0.0000  0.0000  2 K 2.32
F  0.0000  0.0000  0.5000  2 K 2.32